1.
Compound: CrCoPb3
Source: Alexandria
Functional: PBE
Structure: optimized geometry

Structure (POSCAR):
```
CrCoPb3
1.0
-3.779 3.204 1.167
-3.152 -3.947 0.631
1.302 -0.254 4.914
Cr Co Pb
1 1 3
Cartesian
-2.814 -0.498 3.356
0.000 0.000 0.000
0.651 -0.127 2.457
-1.576 -1.973 0.315
-1.889 1.602 0.584
```

## Properties
**DOS(E_F)**: 0.9573 states/eV/atom
**Energy of formation**: 0.63 eV/atom
**Final energy**: -4.9395 eV/atom
**Distance to the lowest polymorph of the same formula**: 0.00 kcal/mol of atoms


2.
Compound: ZrCuSi
Source: Alexandria
Functional: PBE
Structure: optimized geometry

Structure (POSCAR):
```
ZrCuSi
1.0
-0.950 2.619 2.848
-2.081 -5.009 3.913
6.522 -0.588 2.717
Cu Zr Si
4 4 4
Cartesian
2.284 -1.246 1.908
4.029 -2.735 6.647
4.862 -0.730 5.080
1.036 -4.250 4.254
-0.248 -2.576 2.286
3.578 0.944 3.112
2.031 -1.515 4.858
0.286 -0.026 0.119
3.337 -4.064 4.851
-0.507 -2.720 5.119
0.642 0.044 2.960
4.270 -1.819 3.097
```

## Properties
**DOS(E_F)**: 0.5784 states/eV/atom
**ΔE_f (raw)**: -1.872 eV/f.u.
**Final energy**: -6.6464 eV/atom


3.
Compound: TiSi3Hg
Source: Alexandria
Functional: PBE
Structure: optimized geometry

Structure (POSCAR):
```
TiSi3Hg
1.0
4.942 0.000 0.000
0.000 4.942 0.000
0.000 0.000 4.942
Si Hg Ti
3 1 1
Cartesian
0.000 2.471 0.000
0.000 0.000 2.471
2.471 0.000 0.000
0.000 0.000 0.000
2.471 2.471 2.471
```

## Properties
**DOS(E_F)**: 1.2290 states/eV/atom
**ΔE_f (raw)**: 7.441 eV/f.u.
**Final energy**: -3.4049 eV/atom
**Distance to the lowest polymorph of the same formula**: 20.71 kcal/mol of atoms


4.
Compound: Ta3TiC3
Source: Alexandria
Functional: PBE
Structure: optimized geometry

Structure (POSCAR):
```
Ta3TiC3
1.0
5.698 -0.006 2.690
2.734 5.538 1.874
1.246 -0.542 6.847
C Ti Ta
6 2 6
Cartesian
4.097 0.908 3.992
4.639 4.650 4.517
1.559 2.261 2.805
5.039 0.340 6.893
8.119 2.728 8.605
5.581 4.082 7.418
3.126 1.018 2.096
6.552 3.971 9.314
3.684 4.419 6.486
6.337 2.031 7.466
3.341 2.958 3.945
5.994 0.571 4.924
3.146 0.699 5.888
6.532 4.290 5.522
```

## Properties
**DOS(E_F)**: 0.4777 states/eV/atom
**Energy of formation**: -0.12 eV/atom
**Final energy**: -10.2768 eV/atom


5.
Compound: AgTe2Mo
Source: Alexandria
Functional: PBE
Structure: optimized geometry

Structure (POSCAR):
```
AgTe2Mo
1.0
3.149 0.006 0.000
-1.338 2.851 0.000
0.000 0.000 10.580
Mo Te Ag
1 2 1
Cartesian
0.906 1.429 7.935
0.000 0.000 5.746
0.000 0.000 10.125
0.906 1.429 2.645
```

## Properties
**DOS(E_F)**: 1.0377 states/eV/atom
**ΔE_f (raw)**: 1.951 eV/f.u.
**Final energy**: -4.5037 eV/atom
**Distance to the lowest polymorph of the same formula**: 8.87 kcal/mol of atoms


6.
Compound: La5Nd12Ho2
Source: Alexandria
Functional: PBE
Structure: optimized geometry

Structure (POSCAR):
```
La5Nd12Ho2
1.0
9.392 0.000 0.000
-4.696 8.416 3.672
0.000 0.666 8.945
Nd Ho La
12 2 5
Cartesian
1.740 2.529 1.910
4.696 7.741 4.996
2.089 6.588 6.843
2.956 6.553 10.707
4.696 1.221 2.928
-2.089 6.588 6.843
6.785 2.494 5.775
-2.956 6.553 10.707
2.607 2.494 5.775
7.652 2.529 1.910
0.000 7.860 9.689
0.000 1.341 7.621
6.322 0.000 0.000
3.070 0.000 0.000
0.000 0.333 4.473
0.000 5.029 4.124
4.696 4.605 4.568
0.000 4.477 8.049
4.696 4.053 8.494
```

## Properties
**DOS(E_F)**: 1.5637 states/eV/atom
**Energy of formation**: 0.18 eV/atom
**Final energy**: -4.6093 eV/atom
**Distance to the lowest polymorph of the same formula**: 1.62 kcal/mol of atoms


7.
Compound: LaEuZnHg
Source: Alexandria
Functional: PBE
Structure: optimized geometry

Structure (POSCAR):
```
LaEuZnHg
1.0
5.428 0.000 0.000
2.714 4.701 0.000
2.714 1.567 4.432
Zn Hg La Eu
1 1 1 1
Cartesian
0.000 0.000 0.000
5.428 3.134 2.216
8.142 4.701 3.324
2.714 1.567 1.108
```

## Properties
**DOS(E_F)**: 1.7199 states/eV/atom
**Energy of formation**: -0.41 eV/atom
**Final energy**: -4.6003 eV/atom


8.
Compound: CsRb2InAu
Source: Alexandria
Functional: PBE
Structure: optimized geometry

Structure (POSCAR):
```
CsRb2InAu
1.0
6.935 0.000 0.000
0.000 6.935 0.000
0.000 0.000 5.389
Au In Cs Rb
1 1 1 2
Cartesian
0.000 0.000 0.000
0.000 0.000 2.694
3.468 3.468 2.694
0.000 3.468 0.000
3.468 0.000 0.000
```

## Properties
**DOS(E_F)**: 0.9407 states/eV/atom
**Energy of formation**: -0.08 eV/atom
**Final energy**: -1.8444 eV/atom
**Distance to the lowest polymorph of the same formula**: 0.00 kcal/mol of atoms


9.
Compound: Pr6ZnRh2Cl3
Source: Alexandria
Functional: PBE
Structure: optimized geometry

Structure (POSCAR):
```
Pr6ZnRh2Cl3
1.0
-0.070 -1.180 -7.140
-2.046 -5.232 4.563
-6.390 4.614 0.519
Pr Rh Cl Zn
6 2 3 1
Cartesian
-6.273 -0.493 -3.590
-1.538 0.119 -2.578
-2.895 -3.626 -1.744
-5.610 1.829 -0.314
-6.967 -1.916 0.520
-2.232 -1.304 1.532
-0.729 -2.531 -3.236
-1.387 -3.880 0.659
-4.910 -2.247 2.866
-4.253 -0.899 -1.029
-3.595 0.450 -4.924
0.000 0.000 0.000
```

## Properties
**DOS(E_F)**: 0.7518 states/eV/atom
**ΔE_f (raw)**: -12.228 eV/f.u.
**Final energy**: -5.2018 eV/atom


10.
Compound: ZrNi4P2
Source: Alexandria
Functional: PBE
Structure: optimized geometry

Structure (POSCAR):
```
ZrNi4P2
1.0
-2.846 5.126 -3.737
0.319 -3.975 -5.695
-3.259 -1.287 0.716
Ni P Zr
8 4 2
Cartesian
-1.604 -0.226 -7.706
-1.917 -2.113 -3.590
-0.923 1.376 -1.726
-2.394 2.046 -7.217
-3.870 1.977 -5.126
-3.239 1.689 -2.771
-2.547 -1.826 -5.944
-0.133 -0.895 -2.215
-3.448 0.184 -6.427
-0.376 -1.978 -5.265
-2.151 3.129 -4.166
-2.339 -0.321 -2.288
-1.264 0.575 -4.716
-1.630 -0.644 0.358
```

## Properties
**DOS(E_F)**: 0.9298 states/eV/atom
**Energy of formation**: -0.80 eV/atom
**Final energy**: -6.8736 eV/atom
**Distance to the lowest polymorph of the same formula**: 0.00 kcal/mol of atoms


11.
Compound: TbCePm2Tm5
Source: Alexandria
Functional: PBE
Structure: optimized geometry

Structure (POSCAR):
```
TbCePm2Tm5
1.0
8.563 0.000 0.000
0.000 8.563 0.000
-4.282 -4.282 7.687
Tm Pm Ce Tb
10 4 2 2
Cartesian
0.000 0.000 0.000
-1.760 -2.522 5.540
1.760 2.522 5.540
2.522 -1.760 5.540
1.760 6.041 2.147
2.522 1.760 2.147
6.803 2.522 2.147
6.041 6.803 2.147
4.282 4.282 0.000
-2.522 1.760 5.540
1.020 3.262 0.000
5.301 1.020 0.000
3.262 7.543 0.000
7.543 5.301 0.000
0.000 4.282 3.843
4.282 0.000 3.843
4.282 4.282 3.843
0.000 0.000 3.843
```

## Properties
**DOS(E_F)**: 1.5910 states/eV/atom
**Energy of formation**: 0.27 eV/atom
**Final energy**: -4.4400 eV/atom


12.
Compound: KIr2PtO
Source: Alexandria
Functional: PBE
Structure: optimized geometry

Structure (POSCAR):
```
KIr2PtO
1.0
4.870 0.000 0.000
0.000 3.929 0.000
0.000 0.000 4.870
O K Pt Ir
1 1 1 2
Cartesian
0.000 1.964 0.000
0.000 0.000 0.000
2.435 1.964 2.435
0.000 0.000 2.435
2.435 0.000 0.000
```

## Properties
**DOS(E_F)**: 1.4810 states/eV/atom
**ΔE_f (raw)**: 13.228 eV/f.u.
**Final energy**: -3.3182 eV/atom


13.
Compound: Mn4Ag5
Source: Alexandria
Functional: PBE
Structure: optimized geometry

Structure (POSCAR):
```
Mn4Ag5
1.0
4.328 -3.346 3.288
-3.608 5.258 0.274
-4.793 -4.134 0.820
Mn Ag
4 5
Cartesian
-0.159 -2.558 1.405
-2.873 0.384 0.374
-0.307 -4.922 2.703
-5.529 0.740 0.720
-1.138 -0.118 2.660
1.700 -0.498 2.290
0.000 0.000 0.000
-0.981 2.409 1.272
-2.936 -2.104 1.722
```

## Properties
**DOS(E_F)**: 0.5018 states/eV/atom
**Energy of formation**: 0.28 eV/atom
**Final energy**: -5.3842 eV/atom


14.
Compound: AlGaI2O
Source: Alexandria
Functional: PBE
Structure: optimized geometry

Structure (POSCAR):
```
AlGaI2O
1.0
5.884 0.000 0.000
0.000 5.884 0.000
0.000 0.000 3.671
Ga O I Al
1 1 2 1
Cartesian
0.000 0.000 0.000
0.000 0.000 1.836
2.942 0.000 0.000
0.000 2.942 0.000
2.942 2.942 1.836
```

## Properties
**DOS(E_F)**: 0.2867 states/eV/atom
**ΔE_f (raw)**: -1.791 eV/f.u.
**Final energy**: -3.3238 eV/atom
**Distance to the lowest polymorph of the same formula**: 12.29 kcal/mol of atoms


15.
Compound: SmPuPSe
Source: Alexandria
Functional: PBE
Structure: optimized geometry

Structure (POSCAR):
```
SmPuPSe
1.0
-3.531 -2.052 0.451
-0.095 -4.071 -0.547
0.154 -2.950 6.496
Se Pu P Sm
1 1 1 1
Cartesian
-2.383 -6.952 5.856
-1.528 -4.675 4.194
-0.631 -2.426 2.734
-3.376 -6.289 1.098
```

## Properties
**DOS(E_F)**: 2.3356 states/eV/atom
**ΔE_f (raw)**: -6.345 eV/f.u.
**Final energy**: -8.5725 eV/atom


16.
Compound: NdHoAs
Source: Alexandria
Functional: PBE
Structure: optimized geometry

Structure (POSCAR):
```
NdHoAs
1.0
-3.294 -2.689 -5.067
-0.547 -3.360 2.139
-2.709 2.965 0.187
Nd As Ho
1 1 1
Cartesian
-3.234 -2.857 -1.536
-3.057 -0.016 -0.806
-0.258 -0.211 -0.398
```

## Properties
**DOS(E_F)**: 0.7698 states/eV/atom
**Energy of formation**: -0.84 eV/atom
**Final energy**: -5.5028 eV/atom


17.
Compound: BeTl3
Source: Alexandria
Functional: PBE
Structure: optimized geometry

Structure (POSCAR):
```
BeTl3
1.0
4.302 -7.451 0.000
4.302 7.451 0.000
0.000 0.000 3.494
Tl Be
6 2
Cartesian
6.122 1.433 2.620
2.482 1.433 2.620
4.302 -4.585 0.873
6.122 -1.433 0.873
4.302 4.585 2.620
2.482 -1.433 0.873
4.302 -2.484 2.620
4.302 2.484 0.873
```

## Properties
**DOS(E_F)**: 0.6055 states/eV/atom
**Energy of formation**: 0.48 eV/atom
**Final energy**: -2.2313 eV/atom
**Distance to the lowest polymorph of the same formula**: 3.61 kcal/mol of atoms


18.
Compound: LiCoAu2
Source: Alexandria
Functional: PBE
Structure: optimized geometry

Structure (POSCAR):
```
LiCoAu2
1.0
4.605 0.013 -0.022
3.779 2.632 -0.022
0.709 0.223 5.116
Li Co Au
1 1 2
Cartesian
2.273 0.717 1.268
6.820 2.151 3.805
0.775 0.244 5.101
4.480 1.413 2.552
```

## Properties
**DOS(E_F)**: 0.9891 states/eV/atom
**Energy of formation**: 0.02 eV/atom
**Final energy**: -3.8701 eV/atom


19.
Compound: OsAu4Se
Source: Alexandria
Functional: PBE
Structure: optimized geometry

Structure (POSCAR):
```
OsAu4Se
1.0
1.113 -4.412 3.034
-3.985 -2.442 2.841
-1.841 -4.914 -1.541
Au Se Os
4 1 1
Cartesian
-3.759 -5.634 3.045
-1.211 -6.619 3.142
-1.767 -4.414 1.625
-2.687 -6.870 0.855
0.000 0.000 0.000
-3.534 -8.826 3.250
```

## Properties
**DOS(E_F)**: 0.8740 states/eV/atom
**ΔE_f (raw)**: 5.411 eV/f.u.
**Final energy**: -3.7354 eV/atom


20.
Compound: BaPtW2
Source: Alexandria
Functional: PBE
Structure: optimized geometry

Structure (POSCAR):
```
BaPtW2
1.0
-1.490 -1.915 -1.583
4.380 -1.378 -2.455
0.906 -3.809 3.755
W Ba Pt
2 1 1
Cartesian
1.445 -1.647 -2.019
0.000 0.000 0.000
-0.292 -2.862 1.086
2.643 -2.594 0.650
```

## Properties
**DOS(E_F)**: 1.0593 states/eV/atom
**Energy of formation**: 1.09 eV/atom
**Final energy**: -7.3751 eV/atom
**Distance to the lowest polymorph of the same formula**: 15.36 kcal/mol of atoms